1.
DFT (GGA+U) results for a relaxed structure of Li2Fe2P4H3O16.

a = 4.9843 Å, b = 7.3957 Å, c = 8.2739 Å
α = 89.57°, β = 87.88°, γ = 75.90°
With the nearest neighbours (Å) after each atom.
Sites, in units of the cell vectors:
1 Li 0.0000 0.0000 0.0000  4 O 1.93-2.05
2 Li 0.3014 0.6534 0.3192  4 O 1.95-2.07
3 Fe 0.1534 0.8281 0.6610  6 O 1.95-2.11
4 Fe 0.6585 0.3306 0.1581  6 O 1.99-2.03
5 P 0.0511 0.5967 0.0046  4 O 1.53-1.57
6 P 0.2579 0.0729 0.3157  4 O 1.53-1.59
7 P 0.5273 0.0925 0.8175  4 O 1.53-1.57
8 P 0.7789 0.5671 0.5025  4 O 1.52-1.58
9 H 0.3284 0.3907 0.7573  1 O 1.00
10 H 0.6091 0.8517 0.1788  1 O 1.03
11 H 0.9700 0.2695 0.5646  1 O 1.00
12 O 0.0097 0.6747 0.4876  1 P 1.55
13 O 0.0120 0.1361 0.2021  1 P 1.55
14 O 0.1493 0.0393 0.4868  1 P 1.54
15 O 0.1604 0.6186 0.8288  1 P 1.56
16 O 0.2981 0.9833 0.8326  1 P 1.55
17 O 0.3060 0.5224 0.1127  1 P 1.57
18 O 0.4208 0.2676 0.7069  1 H 1.00
19 O 0.4279 0.8765 0.2485  1 H 1.03
20 O 0.4333 0.2157 0.3162  1 P 1.53
21 O 0.5217 0.6908 0.5854  1 P 1.52
22 O 0.5991 0.1546 0.9843  1 P 1.54
23 O 0.7089 0.5039 0.3359  1 P 1.54
24 O 0.7851 0.9711 0.7327  1 P 1.53
25 O 0.8813 0.3926 0.6148  1 H 1.00
26 O 0.8840 0.7818 0.0754  1 P 1.53, 1 H 1.57
27 O 0.8889 0.4426 0.0037  1 P 1.55

Summary:
calculated volume	296	Å³ per cell
E	-176.30	eV/cell

***

2.
DFT (GGA+U) results for a relaxed structure of Li3FeP2HO8.

a = 5.0381 Å, b = 5.0946 Å, c = 6.2715 Å
α = 89.02°, β = 89.78°, γ = 67.13°
With the nearest neighbours (Å) after each atom.
Sites, in units of the cell vectors:
1 Li 0.0000 0.0000 0.0000  6 O 2.12-2.33
2 Li 0.3803 0.2230 0.7431  3 O 1.97-2.03
3 Li 0.6197 0.7770 0.2569  3 O 1.97-2.03
4 Fe 0.0000 0.0000 0.5000  6 O 2.07-2.24
5 P 0.3574 0.3580 0.2533  4 O 1.54-1.59
6 P 0.6426 0.6420 0.7467  4 O 1.54-1.59
7 H 0.0000 0.5000 0.0000  2 O 1.21
8 O 0.2172 0.2968 0.0430  1 H 1.21
9 O 0.2376 0.2466 0.4456  1 P 1.54
10 O 0.2738 0.6844 0.2633  1 P 1.55
11 O 0.3135 0.8134 0.7623  1 P 1.55
12 O 0.6865 0.1866 0.2377  1 P 1.55
13 O 0.7262 0.3156 0.7367  1 P 1.55
14 O 0.7624 0.7534 0.5544  1 P 1.54
15 O 0.7828 0.7032 0.9570  1 H 1.21

Summary:
calculated volume	148	Å³ per cell
E	-96.78	eV/cell

***

3.
DFT (GGA+U) results for a relaxed structure of Li2FeP2HO8.

a = 6.1774 Å, b = 8.6033 Å, c = 7.5501 Å
α = 90.00°, β = 121.62°, γ = 90.00°
With the nearest neighbours (Å) after each atom.
Sites, in units of the cell vectors:
1 Li 0.0000 0.0248 0.0000  3 O 1.92-1.97
2 Li 0.0000 0.9752 0.5000  3 O 1.92-1.97
3 Li 0.7705 0.1805 0.6143  3 O 1.96-2.05
4 Li 0.7705 0.8195 0.1143  3 O 1.96-2.05
5 Fe 0.2442 0.3319 0.2550  5 O 1.89-2.04
6 Fe 0.2442 0.6681 0.7550  5 O 1.89-2.04
7 P 0.3206 0.2828 0.7036  4 O 1.50-1.60
8 P 0.3206 0.7172 0.2036  4 O 1.50-1.60
9 P 0.7146 0.2086 0.1740  4 O 1.53-1.62
10 P 0.7146 0.7914 0.6740  4 O 1.53-1.62
11 H 0.8866 0.3062 0.9236  1 O 0.98
12 H 0.8866 0.6938 0.4236  1 O 0.98
13 O 0.0444 0.2478 0.9765  1 H 0.98
14 O 0.0444 0.7522 0.4765  1 H 0.98
15 O 0.0970 0.1759 0.6292  1 P 1.50
16 O 0.0970 0.8241 0.1292  1 P 1.50
17 O 0.2790 0.4513 0.7418  1 P 1.53
18 O 0.2790 0.5487 0.2418  1 P 1.53
19 O 0.4371 0.2748 0.5634  1 P 1.56
20 O 0.4371 0.7252 0.0634  1 P 1.56
21 O 0.5451 0.2168 0.9224  2 P 1.60-1.62
22 O 0.5451 0.7832 0.4224  2 P 1.60-1.62
23 O 0.5505 0.2295 0.2710  1 P 1.54
24 O 0.5505 0.7705 0.7710  1 P 1.54
25 O 0.8260 0.0449 0.2078  1 P 1.53
26 O 0.8260 0.9551 0.7078  1 P 1.53
27 O 0.9113 0.3402 0.2441  1 P 1.54
28 O 0.9113 0.6598 0.7441  1 P 1.54

Summary:
relative energy among the computed polymorphs	95	meV/atom
calculated volume	342	Å³ per cell